BeZnInNi: relaxed, PBE-GGA.

a = 4.2773 Å, b = 4.2773 Å, c = 4.2773 Å
α = 60.00°, β = 60.00°, γ = 60.00°
With the nearest neighbours (Å) after each atom.
Fractional positions:
1 Be 0.0000 0.0000 0.0000  4 Ni 2.62, 4 Zn 2.62
2 Zn 0.7500 0.7500 0.7500  4 In 2.62, 4 Be 2.62
3 In 0.5000 0.5000 0.5000  4 Zn 2.62, 4 Ni 2.62
4 Ni 0.2500 0.2500 0.2500  4 In 2.62, 4 Be 2.62

Total DFT energy (no corrections) ... -12.65 eV per cell
Space group ... F-43m (216)
Volume ... 55.3 Å³/cell
M_tot ... 0.0 Bohr magnetons per cell
Distance to the lowest polymorph of the same formula ... 0.21 eV/f.u.

=====

LiSmPt4: relaxed, PBE-GGA.

a = 5.3739 Å, b = 5.3739 Å, c = 5.3739 Å
α = 60.00°, β = 60.00°, γ = 60.00°
With the nearest neighbours (Å) after each atom.
Fractional positions:
1 Li 0.0000 0.0000 0.0000  12 Pt 3.15, 4 Sm 3.29
2 Sm 0.2500 0.2500 0.2500  12 Pt 3.15, 4 Li 3.29
3 Pt 0.1235 0.6255 0.6255  6 Pt 2.68-2.70
4 Pt 0.6255 0.1235 0.6255  6 Pt 2.68-2.70
5 Pt 0.6255 0.6255 0.1235  6 Pt 2.68-2.70
6 Pt 0.6255 0.6255 0.6255  6 Pt 2.68-2.70

Total DFT energy (no corrections) ... -36.08 eV per cell
Space group ... F-43m (216)
Volume ... 109.7 Å³/cell
M_tot ... 0.0 Bohr magnetons per cell

=====

Te3H12PdC15I5N3: relaxed, PBE-GGA.

a = 8.8385 Å, b = 17.7156 Å, c = 9.7491 Å
α = 90.00°, β = 107.80°, γ = 90.00°
With the nearest neighbours (Å) after each atom.
Fractional positions:
1 Te 0.0529 0.1055 0.1332  1 C 2.16
2 Te 0.0529 0.3945 0.1332  1 C 2.16
3 Te 0.3754 0.2500 0.1726  1 C 2.16, 2 N 2.38
4 Te 0.6246 0.7500 0.8274  1 C 2.16, 2 N 2.38
5 Te 0.9471 0.6055 0.8668  1 C 2.16
6 Te 0.9471 0.8945 0.8668  1 C 2.16
7 H 0.1163 0.7500 0.4220  1 C 1.09
8 H 0.2264 0.7500 0.2137  1 C 1.09
9 H 0.2320 0.5491 0.2173  1 C 1.09
10 H 0.2320 0.9509 0.2173  1 C 1.09
11 H 0.2682 0.5038 0.6918  1 C 1.09
12 H 0.2682 0.9962 0.6918  1 C 1.09
13 H 0.3010 0.2500 0.4791  1 C 1.09
14 H 0.3452 0.6391 0.7418  1 C 1.09
15 H 0.3452 0.8609 0.7418  1 C 1.09
16 H 0.4777 0.2500 0.7372  1 C 1.09
17 H 0.4836 0.0925 0.7130  1 C 1.09
18 H 0.4836 0.4075 0.7130  1 C 1.09
19 H 0.5164 0.5925 0.2870  1 C 1.09
20 H 0.5164 0.9075 0.2870  1 C 1.09
21 H 0.5223 0.7500 0.2628  1 C 1.09
22 H 0.6548 0.1391 0.2582  1 C 1.09
23 H 0.6548 0.3609 0.2582  1 C 1.09
24 H 0.6990 0.7500 0.5209  1 C 1.09
25 H 0.7318 0.0038 0.3082  1 C 1.09
26 H 0.7318 0.4962 0.3082  1 C 1.09
27 H 0.7680 0.0491 0.7827  1 C 1.09
28 H 0.7680 0.4509 0.7827  1 C 1.09
29 H 0.7736 0.2500 0.7863  1 C 1.09
30 H 0.8837 0.2500 0.5780  1 C 1.09
31 Pd 0.0810 0.2500 0.1420  3 Te 2.53-2.57, 1 I 2.68
32 Pd 0.9190 0.7500 0.8580  3 Te 2.53-2.57, 1 I 2.68
33 C 0.2444 0.7500 0.4393  1 H 1.09
34 C 0.2962 0.0672 0.1978  1 N 1.34, 1 C 1.40
35 C 0.2962 0.4328 0.1978  1 N 1.34, 1 C 1.40
36 C 0.3062 0.7500 0.3238  1 H 1.09
37 C 0.3291 0.5093 0.2253  1 H 1.09
38 C 0.3291 0.9907 0.2253  1 H 1.09
39 C 0.3931 0.5199 0.7235  1 H 1.09
40 C 0.3931 0.9801 0.7235  1 H 1.09
41 C 0.4303 0.2500 0.5059  1 H 1.09
42 C 0.4345 0.5951 0.7518  1 H 1.09
43 C 0.4345 0.9049 0.7518  1 H 1.09
44 C 0.4705 0.7500 0.3514  1 H 1.09
45 C 0.4869 0.5331 0.2647  1 H 1.09
46 C 0.4869 0.9669 0.2647  1 H 1.09
47 C 0.4943 0.7500 0.6003  1 N 1.33, 1 C 1.39
48 C 0.5057 0.2500 0.3997  1 N 1.33, 1 C 1.39
49 C 0.5131 0.0331 0.7353  1 H 1.09
50 C 0.5131 0.4669 0.7353  1 H 1.09
51 C 0.5295 0.2500 0.6486  1 H 1.09
52 C 0.5655 0.0951 0.2482  1 H 1.09
53 C 0.5655 0.4049 0.2482  1 H 1.09
54 C 0.5697 0.7500 0.4941  1 H 1.09
55 C 0.6069 0.0199 0.2765  1 H 1.09
56 C 0.6069 0.4801 0.2765  1 H 1.09
57 C 0.6709 0.0093 0.7747  1 H 1.09
58 C 0.6709 0.4907 0.7747  1 H 1.09
59 C 0.6938 0.2500 0.6762  1 H 1.09
60 C 0.7038 0.5672 0.8022  1 N 1.34, 1 C 1.40
61 C 0.7038 0.9328 0.8022  1 N 1.34, 1 C 1.40
62 C 0.7556 0.2500 0.5607  1 H 1.09
63 I 0.0650 0.1026 0.4353  1 Te 2.91, 1 H 3.21
64 I 0.0650 0.3974 0.4353  1 Te 2.91, 1 H 3.21
65 I 0.0939 0.1136 0.8358  2 H 2.99-3.16, 1 Te 3.03
66 I 0.0939 0.3864 0.8358  2 H 2.99-3.16, 1 Te 3.03
67 I 0.2368 0.7500 0.9268  1 Pd 2.68, 1 H 2.83
68 I 0.7632 0.2500 0.0732  1 Pd 2.68, 1 H 2.83
69 I 0.9061 0.6136 0.1642  2 H 2.99-3.16, 1 Te 3.03
70 I 0.9061 0.8864 0.1642  2 H 2.99-3.16, 1 Te 3.03
71 I 0.9350 0.6026 0.5647  1 Te 2.91, 1 H 3.21
72 I 0.9350 0.8974 0.5647  1 Te 2.91, 1 H 3.21
73 N 0.3380 0.7500 0.5767  2 C 1.33-1.34
74 N 0.4122 0.1178 0.2093  2 C 1.34-1.35
75 N 0.4122 0.3822 0.2093  2 C 1.34-1.35
76 N 0.5878 0.6178 0.7907  2 C 1.34-1.35
77 N 0.5878 0.8822 0.7907  2 C 1.34-1.35
78 N 0.6620 0.2500 0.4233  2 C 1.33-1.34

Total DFT energy (no corrections) ... -451.05 eV per cell
Space group ... P2_1/m (11)
Volume ... 1453.5 Å³/cell